The following is a DFT calculation (PBE-GGA) of a relaxed TbPrTm crystal.

abc: 3.535 5.449 10.368
angles: 90.00 99.82 90.00
Space group P2_1/m (No. 11)
One atom of each set of equivalent atoms:
Tb: 0.113 0.250 0.224 (multiplicity 2)
Pr: 0.293 0.250 0.588 (multiplicity 2)
Tm: 0.458 0.250 0.919 (multiplicity 2)

Output
The size of the total moment comes out at 0.000 μB per atom. The electronic total energy is -13.77 eV/f.u.

The following is a DFT calculation (PBE-GGA) of a relaxed Tb5Pr6Tm2 crystal.

abc: 11.731 20.825 3.635
angles: 90.00 90.00 90.00
Space group Pbam (No. 55)
One atom of each set of equivalent atoms:
Tb: 0.000 0.000 0.000 (multiplicity 2)
Tb: 0.092 0.272 0.000 (multiplicity 4)
Tb: 0.197 0.556 0.000 (multiplicity 4)
Pr: 0.062 0.419 0.500 (multiplicity 4)
Pr: 0.085 0.132 0.500 (multiplicity 4)
Pr: 0.172 0.862 0.000 (multiplicity 4)
Tm: 0.165 0.709 0.500 (multiplicity 4)

Output
The size of the total moment comes out at 0.000 μB per atom. The electronic total energy is -59.44 eV/f.u.

The following is a DFT calculation (PBE-GGA) of a relaxed Tb4PrTm8 crystal.

abc: 7.2602 7.2602 26.7798
angles: 90.00 90.00 120.00
Space group R-3m (No. 166, hexagonal axes)
One atom of each set of equivalent atoms:
Tb: 0.0000 0.0000 0.0000 (multiplicity 3)
Tb: 0.0000 0.5000 0.0000 (multiplicity 9)
Pr: 0.0000 0.0000 0.5000 (multiplicity 3)
Tm: 0.0000 0.0000 0.2185 (multiplicity 6)
Tm: 0.0397 0.5199 0.7691 (multiplicity 18)

Output
The size of the total moment comes out at 0.000 μB per atom. The electronic total energy is -56.36 eV/f.u.

The following is a DFT calculation (PBE-GGA) of a relaxed Tb2PrTm4 crystal.

abc: 5.995 8.464 9.812
angles: 82.60 72.29 69.28
Space group P1 (No. 1)
One atom of each set of equivalent atoms:
Tb: 0.000 0.000 0.000 (multiplicity 1)
Tb: 0.062 0.933 0.636 (multiplicity 1)
Tb: 0.305 0.501 0.500 (multiplicity 1)
Tb: 0.632 0.067 0.364 (multiplicity 1)
Pr: 0.244 0.571 0.862 (multiplicity 1)
Pr: 0.678 0.429 0.138 (multiplicity 1)
Tm: 0.318 0.856 0.276 (multiplicity 1)
Tm: 0.350 0.208 0.078 (multiplicity 1)
Tm: 0.449 0.145 0.724 (multiplicity 1)
Tm: 0.634 0.793 0.922 (multiplicity 1)
Tm: 0.670 0.712 0.579 (multiplicity 1)
Tm: 0.851 0.350 0.774 (multiplicity 1)
Tm: 0.962 0.288 0.421 (multiplicity 1)
Tm: 0.975 0.650 0.227 (multiplicity 1)

Output
The size of the total moment comes out at 0.000 μB per atom. The electronic total energy is -31.38 eV/f.u.

The following is a DFT calculation (PBE-GGA) of a relaxed Tb2Pr3Tm2 crystal.

abc: 3.560 8.614 8.812
angles: 117.84 90.03 101.92
Space group P-1 (No. 2)
One atom of each set of equivalent atoms:
Tb: 0.070 0.140 0.432 (multiplicity 2)
Pr: 0.000 0.000 0.000 (multiplicity 1)
Pr: 0.294 0.588 0.712 (multiplicity 2)
Tm: 0.361 0.722 0.167 (multiplicity 2)

Output
The size of the total moment comes out at 0.000 μB per atom. The electronic total energy is -32.24 eV/f.u.

The following is a DFT calculation (PBE-GGA) of a relaxed Tb5Pr12Tm crystal.

abc: 15.495 15.552 5.188
angles: 90.00 90.00 90.00
Space group Cmmm (No. 65)
One atom of each set of equivalent atoms:
Tb: 0.000 0.000 0.000 (multiplicity 2)
Tb: 0.000 0.167 0.500 (multiplicity 4)
Tb: 0.000 0.334 0.000 (multiplicity 4)
Pr: 0.164 0.500 0.000 (multiplicity 4)
Pr: 0.165 0.000 0.500 (multiplicity 4)
Pr: 0.165 0.167 0.000 (multiplicity 8)
Pr: 0.165 0.334 0.500 (multiplicity 8)
Tm: 0.000 0.500 0.500 (multiplicity 2)

Output
The size of the total moment comes out at 0.000 μB per atom. The electronic total energy is -84.61 eV/f.u.